# Ca2CoAu, relaxed, DFT GGA-PBE
# Formation enthalpy at 0 K   0.54 eV/f.u.
# DFT total energy   -3.461 eV per atom
data_Ca2CoAu
_chemical_formula_sum 'Ca8 Co4 Au4'
_symmetry_space_group_name_H-M 'I -4 2 d'
_symmetry_Int_Tables_number 122
_symmetry_space_group_name_Hall 'I -4 2bw'
_cell_length_a 7.680
_cell_length_b 7.680
_cell_length_c 6.003
_cell_angle_alpha 90.00
_cell_angle_beta 90.00
_cell_angle_gamma 90.00
loop_
_atom_site_label
_atom_site_type_symbol
_atom_site_fract_x
_atom_site_fract_y
_atom_site_fract_z
Ca1 Ca 0.218 0.250 0.125
Co1 Co 0.000 0.000 0.000
Au1 Au 0.000 0.000 0.500